# PBE CsRb2HfBr6, relaxed
# energy above the most stable polymorph in this dataset = 50 meV/atom
# DOS at the Fermi energy = 0.787 states/eV per atom
# E_form (uncorrected) = -14.7 eV/f.u.
# energy = -37.5 eV per formula unit
data_CsRb2HfBr6
_cell_length_a 8.553
_cell_length_b 8.553
_cell_length_c 8.553
_cell_angle_alpha 60.00
_cell_angle_beta 60.00
_cell_angle_gamma 60.00
_symmetry_space_group_name_H-M 'P 1'
_symmetry_Int_Tables_number 1
_symmetry_space_group_name_Hall 'P 1'
loop_
_atom_site_label
_atom_site_type_symbol
_atom_site_fract_x
_atom_site_fract_y
_atom_site_fract_z
Cs1 Cs 0.000 0.000 0.000
Rb1 Rb 0.250 0.250 0.250
Rb2 Rb 0.750 0.750 0.750
Hf1 Hf 0.500 0.500 0.500
Br1 Br 0.280 0.280 0.720
Br2 Br 0.280 0.720 0.280
Br3 Br 0.280 0.720 0.720
Br4 Br 0.720 0.280 0.280
Br5 Br 0.720 0.280 0.720
Br6 Br 0.720 0.720 0.280

# PBE GeSb3Se, relaxed
# energy above the most stable polymorph in this dataset = 0 meV/atom
# DOS at the Fermi energy = 0.796 states/eV per atom
# E_form (uncorrected) = 3.7 eV/f.u.
# energy = -16.7 eV per formula unit
data_GeSb3Se
_cell_length_a 5.328
_cell_length_b 5.328
_cell_length_c 5.328
_cell_angle_alpha 90.00
_cell_angle_beta 90.00
_cell_angle_gamma 90.00
_symmetry_space_group_name_H-M 'P 1'
_symmetry_Int_Tables_number 1
_symmetry_space_group_name_Hall 'P 1'
loop_
_atom_site_label
_atom_site_type_symbol
_atom_site_fract_x
_atom_site_fract_y
_atom_site_fract_z
Ge1 Ge 0.000 0.000 0.000
Sb1 Sb 0.000 0.000 0.500
Sb2 Sb 0.000 0.500 0.000
Sb3 Sb 0.500 0.000 0.000
Se1 Se 0.500 0.500 0.500

# PBE Rb3AgSn2I9, relaxed
# DOS at the Fermi energy = 0.231 states/eV per atom
# E_form (uncorrected) = -12.2 eV/f.u.
# energy = -39.9 eV per formula unit
data_Rb3AgSn2I9
_cell_length_a 8.593
_cell_length_b 8.593
_cell_length_c 10.549
_cell_angle_alpha 90.00
_cell_angle_beta 90.00
_cell_angle_gamma 120.00
_symmetry_space_group_name_H-M 'P 1'
_symmetry_Int_Tables_number 1
_symmetry_space_group_name_Hall 'P 1'
loop_
_atom_site_label
_atom_site_type_symbol
_atom_site_fract_x
_atom_site_fract_y
_atom_site_fract_z
Rb1 Rb 0.000 0.000 0.000
Rb2 Rb 0.333 0.667 0.652
Rb3 Rb 0.667 0.333 0.348
Ag1 Ag 0.000 0.000 0.500
Sn1 Sn 0.333 0.667 0.177
Sn2 Sn 0.667 0.333 0.823
I1 I 0.000 0.500 0.000
I2 I 0.164 0.329 0.338
I3 I 0.164 0.836 0.338
I4 I 0.329 0.164 0.662
I5 I 0.500 0.000 0.000
I6 I 0.500 0.500 0.000
I7 I 0.671 0.836 0.338
I8 I 0.836 0.164 0.662
I9 I 0.836 0.671 0.662

# PBE TaRe3, relaxed
# DOS at the Fermi energy = 1.249 states/eV per atom
# energy = -48.8 eV per formula unit
data_TaRe3
_cell_length_a 2.853
_cell_length_b 3.924
_cell_length_c 5.663
_cell_angle_alpha 90.00
_cell_angle_beta 90.00
_cell_angle_gamma 90.00
_symmetry_space_group_name_H-M 'P 1'
_symmetry_Int_Tables_number 1
_symmetry_space_group_name_Hall 'P 1'
loop_
_atom_site_label
_atom_site_type_symbol
_atom_site_fract_x
_atom_site_fract_y
_atom_site_fract_z
Ta1 Ta 0.000 0.000 0.000
Re1 Re 0.000 0.000 0.500
Re2 Re 0.500 0.500 0.263
Re3 Re 0.500 0.500 0.737

Please write out number 1 again, unchanged.
# PBE CsRb2HfBr6, relaxed
# energy above the most stable polymorph in this dataset = 50 meV/atom
# DOS at the Fermi energy = 0.787 states/eV per atom
# E_form (uncorrected) = -14.7 eV/f.u.
# energy = -37.5 eV per formula unit
data_CsRb2HfBr6
_cell_length_a 8.553
_cell_length_b 8.553
_cell_length_c 8.553
_cell_angle_alpha 60.00
_cell_angle_beta 60.00
_cell_angle_gamma 60.00
_symmetry_space_group_name_H-M 'P 1'
_symmetry_Int_Tables_number 1
_symmetry_space_group_name_Hall 'P 1'
loop_
_atom_site_label
_atom_site_type_symbol
_atom_site_fract_x
_atom_site_fract_y
_atom_site_fract_z
Cs1 Cs 0.000 0.000 0.000
Rb1 Rb 0.250 0.250 0.250
Rb2 Rb 0.750 0.750 0.750
Hf1 Hf 0.500 0.500 0.500
Br1 Br 0.280 0.280 0.720
Br2 Br 0.280 0.720 0.280
Br3 Br 0.280 0.720 0.720
Br4 Br 0.720 0.280 0.280
Br5 Br 0.720 0.280 0.720
Br6 Br 0.720 0.720 0.280

Copy entry 3 word for word.
# PBE Rb3AgSn2I9, relaxed
# DOS at the Fermi energy = 0.231 states/eV per atom
# E_form (uncorrected) = -12.2 eV/f.u.
# energy = -39.9 eV per formula unit
data_Rb3AgSn2I9
_cell_length_a 8.593
_cell_length_b 8.593
_cell_length_c 10.549
_cell_angle_alpha 90.00
_cell_angle_beta 90.00
_cell_angle_gamma 120.00
_symmetry_space_group_name_H-M 'P 1'
_symmetry_Int_Tables_number 1
_symmetry_space_group_name_Hall 'P 1'
loop_
_atom_site_label
_atom_site_type_symbol
_atom_site_fract_x
_atom_site_fract_y
_atom_site_fract_z
Rb1 Rb 0.000 0.000 0.000
Rb2 Rb 0.333 0.667 0.652
Rb3 Rb 0.667 0.333 0.348
Ag1 Ag 0.000 0.000 0.500
Sn1 Sn 0.333 0.667 0.177
Sn2 Sn 0.667 0.333 0.823
I1 I 0.000 0.500 0.000
I2 I 0.164 0.329 0.338
I3 I 0.164 0.836 0.338
I4 I 0.329 0.164 0.662
I5 I 0.500 0.000 0.000
I6 I 0.500 0.500 0.000
I7 I 0.671 0.836 0.338
I8 I 0.836 0.164 0.662
I9 I 0.836 0.671 0.662

The lowest energy belongs to which entry? TaRe3